{
  "formula": "Sr2CuSi2Ge",
  "functional": "PBE",
  "state": "optimized geometry",
  "total_energy_ev_per_cell": -51.1,
  "spacegroup": "Fmmm",
  "mass_density_g_cm3": 4.357,
  "lattice": [[0.000, 4.659, 7.216], [4.167, 0.000, 7.216], [4.167, 4.659, 0.000]],
  "species": ["Sr", "Sr", "Sr", "Sr", "Cu", "Cu", "Si", "Si", "Si", "Si", "Ge", "Ge"],
  "fractional_positions": [[0.243, 0.757, 0.243], [0.250, 0.250, 0.250], [0.750, 0.750, 0.750], [0.757, 0.243, 0.757], [0.337, 0.337, 0.663], [0.663, 0.663, 0.337], [0.175, 0.661, 0.825], [0.339, 0.825, 0.661], [0.661, 0.175, 0.339], [0.825, 0.339, 0.175], [0.167, 0.167, 0.833], [0.833, 0.833, 0.167]]
}